VASP calculation (PBE-GGA) on MgRhSe2 after structural relaxation.

Summary:
- uncorrected energy (eV/atom) = -4.572

Cell lengths 3.751, 3.751, 5.316 Å; angles 90.00, 90.00, 90.00 degrees
Fractional positions:
Mg  0.000  0.000  0.387
Se  0.500  0.500  0.364
Se  0.000  0.000  0.886
Rh  0.500  0.500  0.863


VASP calculation (PBE-GGA) on NpSnTe2N after structural relaxation.

Summary:
- uncorrected energy (eV/atom) = -6.972

Cell lengths 3.997, 3.997, 16.986 Å; angles 90.00, 90.00, 90.00 degrees
Last column: magnetic moment on the atom in μB.
Fractional positions:
Np  0.000  0.500  0.436  3.02
Np  0.500  0.000  0.564  3.02
N  0.500  0.500  0.500  -0.19
N  0.000  0.000  0.500  -0.19
Sn  0.500  0.000  0.162  0.01
Sn  0.000  0.500  0.838  0.01
Te  0.000  0.500  0.101  0.01
Te  0.500  0.000  0.333  -0.11
Te  0.000  0.500  0.667  -0.11
Te  0.500  0.000  0.899  0.01


VASP calculation (PBE-GGA) on Rb2NaBiF6 after structural relaxation.

Summary:
- distance to the lowest polymorph of the same formula (meV per atom) = 0
- uncorrected energy (eV/atom) = -4.513

Cell lengths 6.456, 6.470, 9.138 Å; angles 90.00, 89.86, 90.00 degrees
Fractional positions:
F  0.943  0.513  0.246
F  0.057  0.487  0.754
F  0.212  0.221  0.030
F  0.779  0.787  0.529
F  0.721  0.287  0.971
F  0.712  0.279  0.530
F  0.788  0.779  0.970
F  0.221  0.213  0.471
F  0.288  0.721  0.470
F  0.557  0.013  0.254
F  0.279  0.713  0.029
F  0.443  0.987  0.746
Rb  0.996  0.024  0.749
Rb  0.496  0.476  0.249
Rb  0.004  0.976  0.251
Rb  0.504  0.524  0.751
Bi  0.500  0.000  0.500
Bi  0.000  0.500  0.000
Na  0.500  0.000  0.000
Na  0.000  0.500  0.500


VASP calculation (PBE-GGA) on Ag2Hg2H after structural relaxation.

Summary:
- distance to the lowest polymorph of the same formula (meV per atom) = 0
- uncorrected energy (eV/atom) = -1.727

Cell lengths 5.735, 5.735, 5.575 Å; angles 90.00, 90.00, 90.00 degrees
Fractional positions:
Hg  0.817  0.317  0.500
Hg  0.183  0.683  0.500
Hg  0.317  0.183  0.500
Hg  0.683  0.817  0.500
H  0.000  0.000  0.000
H  0.500  0.500  0.000
Ag  0.186  0.314  0.000
Ag  0.314  0.814  0.000
Ag  0.686  0.186  0.000
Ag  0.814  0.686  0.000


VASP calculation (PBE-GGA) on MnCr2SnHg after structural relaxation.

Summary:
- energy of formation from the pure elements (meV/atom) = 1418
- uncorrected energy (eV/atom) = -5.126

Cell lengths 5.191, 5.514, 5.191 Å; angles 90.00, 90.00, 90.00 degrees
Last column: magnetic moment on the atom in μB.
Fractional positions:
Cr  0.500  0.000  0.000  3.73
Cr  0.000  0.000  0.500  3.97
Mn  0.500  0.500  0.500  4.44
Sn  0.000  0.000  0.000  -0.12
Hg  0.000  0.500  0.000  0.03


VASP calculation (PBE-GGA) on Ca2TcOs after structural relaxation.

Summary:
- distance to the lowest polymorph of the same formula (meV per atom) = 81
- energy of formation from the pure elements (meV/atom) = 340
- uncorrected energy (eV/atom) = -6.060

Cell lengths 5.295, 5.295, 5.193 Å; angles 60.60, 60.60, 46.24 degrees
Fractional positions:
Ca  0.773  0.773  0.727
Ca  0.978  0.978  0.022
Os  0.554  0.554  0.447
Tc  0.195  0.195  0.304


VASP calculation (PBE-GGA) on Ac2CdGe4Rh3 after structural relaxation.

Summary:
- energy of formation from the pure elements (meV/atom) = -696
- uncorrected energy (eV/atom) = -5.661

Cell lengths 4.445, 4.445, 10.505 Å; angles 90.00, 90.00, 90.00 degrees
Fractional positions:
Rh  0.500  0.000  0.883
Rh  0.000  0.000  0.500
Rh  0.000  0.500  0.117
Ge  0.000  0.500  0.356
Ge  0.000  0.000  0.000
Ge  0.500  0.500  0.000
Ge  0.500  0.000  0.644
Cd  0.500  0.500  0.500
Ac  0.000  0.500  0.762
Ac  0.500  0.000  0.238


VASP calculation (PBE-GGA) on La2AlZnAu6 after structural relaxation.

Summary:
- energy of formation from the pure elements (meV/atom) = -546
- uncorrected energy (eV/atom) = -3.999

Cell lengths 5.609, 8.849, 6.906 Å; angles 51.40, 66.04, 89.99 degrees
Fractional positions:
Au  0.748  0.892  0.502
Au  0.234  0.739  0.031
Au  0.266  0.260  0.970
Au  0.252  0.108  0.498
Au  0.766  0.261  0.969
Au  0.734  0.740  0.030
Zn  0.500  0.500  0.000
Al  0.000  0.000  0.000
La  0.245  0.713  0.509
La  0.755  0.287  0.491


VASP calculation (PBE-GGA) on KZn2Pb after structural relaxation.

Summary:
- distance to the lowest polymorph of the same formula (meV per atom) = 227
- energy of formation from the pure elements (meV/atom) = 238
- uncorrected energy (eV/atom) = -1.601

Cell lengths 5.243, 5.243, 5.243 Å; angles 60.00, 60.00, 60.00 degrees
Fractional positions:
Zn  0.250  0.250  0.250
Zn  0.000  0.000  0.000
Pb  0.750  0.750  0.750
K  0.500  0.500  0.500


VASP calculation (PBE-GGA) on ZnCrP after structural relaxation.

Summary:
- energy of formation from the pure elements (meV/atom) = 191
- uncorrected energy (eV/atom) = -5.244

Cell lengths 6.747, 6.588, 2.672 Å; angles 81.80, 75.13, 23.07 degrees
Last column: magnetic moment on the atom in μB.
Fractional positions:
P  0.636  0.636  0.364  -0.04
Zn  0.353  0.353  0.647  0.00
Cr  0.011  0.011  0.989  0.76


VASP calculation (PBE-GGA) on LuSiPt2 after structural relaxation.

Summary:
- uncorrected energy (eV/atom) = -6.702

Cell lengths 5.461, 6.977, 7.189 Å; angles 90.00, 90.00, 90.00 degrees
Fractional positions:
Si  0.634  0.750  0.382
Si  0.134  0.250  0.118
Si  0.366  0.250  0.618
Si  0.866  0.750  0.882
Lu  0.365  0.750  0.025
Lu  0.865  0.250  0.475
Lu  0.135  0.750  0.525
Lu  0.635  0.250  0.975
Pt  0.909  0.950  0.184
Pt  0.091  0.450  0.816
Pt  0.591  0.550  0.684
Pt  0.409  0.050  0.316
Pt  0.409  0.450  0.316
Pt  0.591  0.950  0.684
Pt  0.909  0.550  0.184
Pt  0.091  0.050  0.816


VASP calculation (PBE-GGA) on Mn2CoN2 after structural relaxation.

Summary:
- distance to the lowest polymorph of the same formula (meV per atom) = 95
- uncorrected energy (eV/atom) = -8.500

Cell lengths 3.234, 3.234, 6.888 Å; angles 62.05, 62.05, 60.13 degrees
Last column: magnetic moment on the atom in μB.
Fractional positions:
Mn  0.436  0.436  0.846  1.35
Mn  0.564  0.564  0.154  1.35
N  0.208  0.208  0.188  -0.09
N  0.792  0.792  0.812  -0.09
Co  0.000  0.000  0.500  0.53


> Which value of uncorrected energy does entry 9 give?

-1.601 eV/atom